Density functional theory data (PBE-GGA) for a relaxed BeZn2As crystal.

Lattice parameters (Å, degrees): 6.304 6.304 6.304 152.72 147.24 43.13
Positions (direct):
Be 0.000 0.000 0.000
Zn 0.189 0.689 0.500
Zn 0.811 0.311 0.500
As 0.500 0.500 0.000

DFT formation energy	0.22	eV per atom
energy above the lowest structure with this stoichiometry	41.4	meV per atom
N(E_F)	0.98	states/eV per cell
energy	-0.1848	Ry per atom

=====

Density functional theory data (PBE-GGA) for a relaxed CrHgAs2 crystal.

Lattice parameters (Å, degrees): 3.931 3.931 8.154 104.79 104.79 47.48
Positions (direct):
Cr 0.000 0.000 0.000
Hg 0.500 0.500 0.500
As 0.356 0.356 0.165
As 0.644 0.644 0.835

DFT formation energy	0.05	eV per atom
N(E_F)	1.77	states/eV per cell
energy	-0.3495	Ry per atom

=====

Density functional theory data (PBE-GGA) for a relaxed RbSrHoI6 crystal.

Lattice parameters (Å, degrees): 8.259 8.259 15.823 90.00 90.00 120.00
Positions (direct):
Rb 0.000 0.000 0.000
Rb 0.000 0.000 0.500
Sr 0.333 0.667 0.250
Sr 0.667 0.333 0.750
Ho 0.333 0.667 0.750
Ho 0.667 0.333 0.250
I 0.024 0.382 0.637
I 0.024 0.642 0.863
I 0.358 0.382 0.863
I 0.358 0.976 0.637
I 0.382 0.024 0.137
I 0.382 0.358 0.363
I 0.618 0.642 0.637
I 0.618 0.976 0.863
I 0.642 0.024 0.363
I 0.642 0.618 0.137
I 0.976 0.358 0.137
I 0.976 0.618 0.363

formation energy from raw total energies	-1.5280	eV/atom
N(E_F)	0.00	states/eV per cell
energy	-0.2473	Ry per atom

=====

Density functional theory data (PBE-GGA) for a relaxed LaUGe2Rh5 crystal.

Lattice parameters (Å, degrees): 4.721 4.721 7.481 90.00 90.00 90.00
Positions (direct):
La 0.000 0.000 0.000
U 0.000 0.000 0.500
Ge 0.500 0.500 0.332
Ge 0.500 0.500 0.668
Rh 0.000 0.500 0.275
Rh 0.000 0.500 0.725
Rh 0.500 0.000 0.275
Rh 0.500 0.000 0.725
Rh 0.500 0.500 0.000

DFT formation energy	-0.46	eV per atom
N(E_F)	9.11	states/eV per cell
energy	-0.5415	Ry per atom

=====

Which formula does entry 2 have? CrHgAs2

=====

The highest energy belongs to which entry? BeZn2As

=====

Copy entry 3 word for word.
Density functional theory data (PBE-GGA) for a relaxed RbSrHoI6 crystal.

Lattice parameters (Å, degrees): 8.259 8.259 15.823 90.00 90.00 120.00
Positions (direct):
Rb 0.000 0.000 0.000
Rb 0.000 0.000 0.500
Sr 0.333 0.667 0.250
Sr 0.667 0.333 0.750
Ho 0.333 0.667 0.750
Ho 0.667 0.333 0.250
I 0.024 0.382 0.637
I 0.024 0.642 0.863
I 0.358 0.382 0.863
I 0.358 0.976 0.637
I 0.382 0.024 0.137
I 0.382 0.358 0.363
I 0.618 0.642 0.637
I 0.618 0.976 0.863
I 0.642 0.024 0.363
I 0.642 0.618 0.137
I 0.976 0.358 0.137
I 0.976 0.618 0.363

formation energy from raw total energies	-1.5280	eV/atom
N(E_F)	0.00	states/eV per cell
energy	-0.2473	Ry per atom